Compound: HoTa3O9
Source: the Alexandria database
Functional: GGA-PBE
Structure: relaxed Values from VASP.

```
&SYSTEM
  ibrav = 0, nat = 52, ntyp = 3
/
ATOMIC_SPECIES
Ho 164.93 Ho.upf
Ta 180.95 Ta.upf
O 16.00 O.upf
CELL_PARAMETERS angstrom
6.450 0.000 0.000
0.000 7.629 0.000
0.000 0.000 12.582
ATOMIC_POSITIONS crystal
Ho 0.059 0.250 0.465
Ho 0.441 0.750 0.965
Ho 0.559 0.250 0.035
Ho 0.941 0.750 0.535
Ta 0.000 0.000 0.000
Ta 0.000 0.500 0.000
Ta 0.198 0.002 0.712
Ta 0.198 0.498 0.712
Ta 0.302 0.502 0.212
Ta 0.302 0.998 0.212
Ta 0.500 0.000 0.500
Ta 0.500 0.500 0.500
Ta 0.698 0.002 0.788
Ta 0.698 0.498 0.788
Ta 0.802 0.502 0.288
Ta 0.802 0.998 0.288
O 0.011 0.046 0.843
O 0.011 0.454 0.843
O 0.075 0.750 0.972
O 0.110 0.040 0.331
O 0.110 0.460 0.331
O 0.155 0.250 0.667
O 0.199 0.750 0.691
O 0.203 0.532 0.535
O 0.203 0.968 0.535
O 0.297 0.032 0.035
O 0.297 0.468 0.035
O 0.301 0.250 0.191
O 0.345 0.750 0.167
O 0.390 0.540 0.831
O 0.390 0.960 0.831
O 0.425 0.250 0.472
O 0.489 0.546 0.343
O 0.489 0.954 0.343
O 0.511 0.046 0.657
O 0.511 0.454 0.657
O 0.575 0.750 0.528
O 0.610 0.040 0.169
O 0.610 0.460 0.169
O 0.655 0.250 0.833
O 0.699 0.750 0.809
O 0.703 0.532 0.965
O 0.703 0.968 0.965
O 0.797 0.032 0.465
O 0.797 0.468 0.465
O 0.801 0.250 0.309
O 0.845 0.750 0.333
O 0.890 0.540 0.669
O 0.890 0.960 0.669
O 0.925 0.250 0.028
O 0.989 0.546 0.157
O 0.989 0.954 0.157
```

Summary:
SG: No. 62
Theoretical density: 9.14 g/cm3
Energy above the lowest structure with this stoichiometry: 24 meV per atom

Compound: HoTaTi2O8
Source: the Alexandria database
Functional: GGA-PBE
Structure: relaxed Values from VASP.

```
&SYSTEM
  ibrav = 0, nat = 12, ntyp = 4
/
ATOMIC_SPECIES
Ho 164.93 Ho.upf
Ta 180.95 Ta.upf
Ti 47.87 Ti.upf
O 16.00 O.upf
CELL_PARAMETERS angstrom
4.788 0.094 0.059
0.140 4.787 0.057
0.087 0.089 6.427
ATOMIC_POSITIONS crystal
Ho 0.000 0.000 0.500
Ta 0.000 0.000 0.000
Ti 0.464 0.464 0.746
Ti 0.536 0.536 0.254
O 0.207 0.793 0.225
O 0.706 0.706 0.018
O 0.794 0.207 0.225
O 0.793 0.207 0.775
O 0.294 0.294 0.982
O 0.206 0.793 0.775
O 0.678 0.679 0.487
O 0.322 0.321 0.513
```

Summary:
SG: No. 12
Theoretical density: 6.43 g/cm3

Compound: HoTaTiO6
Source: the Alexandria database
Functional: GGA-PBE
Structure: relaxed Values from VASP.

```
&SYSTEM
  ibrav = 0, nat = 36, ntyp = 4
/
ATOMIC_SPECIES
Ho 164.93 Ho.upf
Ta 180.95 Ta.upf
Ti 47.87 Ti.upf
O 16.00 O.upf
CELL_PARAMETERS angstrom
14.721 0.000 0.000
0.000 5.217 0.005
0.000 0.038 5.617
ATOMIC_POSITIONS crystal
Ho 0.000 0.747 0.768
Ho 0.500 0.253 0.732
Ho 0.000 0.253 0.232
Ho 0.500 0.747 0.268
Ta 0.331 0.820 0.822
Ta 0.831 0.180 0.678
Ta 0.669 0.180 0.178
Ta 0.169 0.820 0.322
Ti 0.164 0.317 0.687
Ti 0.664 0.683 0.813
Ti 0.836 0.683 0.313
Ti 0.336 0.317 0.187
O 0.258 0.142 0.857
O 0.240 0.647 0.633
O 0.758 0.858 0.643
O 0.740 0.353 0.867
O 0.742 0.858 0.143
O 0.760 0.353 0.367
O 0.242 0.142 0.357
O 0.260 0.647 0.133
O 0.907 0.968 0.433
O 0.592 0.469 0.062
O 0.407 0.032 0.067
O 0.092 0.531 0.438
O 0.093 0.032 0.567
O 0.408 0.531 0.938
O 0.593 0.968 0.933
O 0.908 0.469 0.562
O 0.086 0.417 0.910
O 0.416 0.917 0.591
O 0.586 0.583 0.590
O 0.916 0.083 0.909
O 0.914 0.583 0.090
O 0.584 0.083 0.409
O 0.414 0.417 0.410
O 0.084 0.917 0.091
```

Summary:
SG: No. 14
Theoretical density: 7.54 g/cm3

ΔE_f (raw) per entry: -291.0, -296.3, -308.2 kJ per mole of atoms
Energy per entry: -9.535, -9.061, -9.203 eV/atom